# 1
{
  "formula": "Pd7RhAu2",
  "functional": "PBE-GGA",
  "state": "optimized geometry",
  "cell": [[-1.567, -0.232, -2.205], [-4.619, -6.611, 3.979], [-2.207, 8.694, 0.653]],
  "species": ["Pd", "Pd", "Pd", "Pd", "Pd", "Pd", "Pd", "Rh", "Au", "Au"],
  "frac_coords": [[0.000, 0.825, 0.175], [0.000, 0.175, 0.825], [0.500, 0.140, 0.314], [0.500, 0.860, 0.686], [0.500, 0.314, 0.140], [0.500, 0.686, 0.860], [0.500, 0.500, 0.500], [0.000, 0.000, 0.000], [0.500, 0.675, 0.325], [0.500, 0.325, 0.675]],
  "total_energy_ev_per_cell": -47.26,
  "e_form_mev_per_atom": 299,
  "m_tot_mub_per_cell": 1.46
}

# 2
{
  "formula": "TmSnH",
  "functional": "PBE-GGA",
  "state": "optimized geometry",
  "cell": [[-1.334, 1.170, 3.203], [-1.896, -5.745, 1.308], [8.732, -1.895, 4.329]],
  "species": ["H", "H", "H", "H", "Tm", "Tm", "Tm", "Tm", "Sn", "Sn", "Sn", "Sn"],
  "frac_coords": [[0.750, 0.087, 0.231], [0.250, 0.587, 0.269], [0.750, 0.413, 0.731], [0.250, 0.913, 0.769], [0.750, 0.420, 0.269], [0.250, 0.920, 0.231], [0.750, 0.080, 0.769], [0.250, 0.580, 0.731], [0.250, 0.302, 0.006], [0.750, 0.802, 0.494], [0.250, 0.198, 0.506], [0.750, 0.698, 0.994]],
  "total_energy_ev_per_cell": -54.42,
  "m_tot_mub_per_cell": 0.00
}

# 3
{
  "formula": "ScMnRe2",
  "functional": "PBE-GGA",
  "state": "optimized geometry",
  "cell": [[3.086, 0.000, 0.000], [0.000, 4.373, 0.000], [0.000, 0.000, 4.418]],
  "species": ["Mn", "Re", "Re", "Sc"],
  "frac_coords": [[0.000, 0.500, 0.500], [0.000, 0.000, 0.000], [0.500, 0.500, 0.000], [0.500, 0.000, 0.500]],
  "total_energy_ev_per_cell": -40.29,
  "e_form_mev_per_atom": 27,
  "m_tot_mub_per_cell": 0.03
}

# 4
{
  "formula": "Cd2GaSe",
  "functional": "PBE-GGA",
  "state": "optimized geometry",
  "cell": [[-0.272, 1.034, 7.714], [3.216, -7.014, 1.053], [4.274, -1.716, 4.312]],
  "species": ["Ga", "Ga", "Se", "Se", "Cd", "Cd", "Cd", "Cd"],
  "frac_coords": [[0.500, 0.500, 0.000], [0.250, 0.750, 0.500], [0.000, 0.000, 0.000], [0.750, 0.250, 0.500], [0.635, 0.125, 0.250], [0.115, 0.625, 0.250], [0.375, 0.365, 0.750], [0.875, 0.885, 0.750]],
  "total_energy_ev_per_cell": -17.54,
  "raw_formation_energy_mev_per_atom": -107,
  "m_tot_mub_per_cell": 0.00
}

# 5
{
  "formula": "KOsBr",
  "functional": "PBE-GGA",
  "state": "optimized geometry",
  "cell": [[-2.554, 1.648, 1.010], [-0.295, -3.093, -0.776], [1.554, -1.919, 7.062]],
  "species": ["Br", "K", "Os"],
  "frac_coords": [[0.000, 0.000, 0.961], [0.667, 0.333, 0.336], [0.333, 0.667, 0.703]],
  "total_energy_ev_per_cell": -10.70,
  "raw_formation_energy_mev_per_atom": 1100,
  "m_tot_mub_per_cell": 0.75
}

# 6
{
  "formula": "ThAl2CuAu4",
  "functional": "PBE-GGA",
  "state": "optimized geometry",
  "cell": [[4.432, 0.000, 0.000], [2.216, 3.839, 0.000], [2.216, 1.280, 8.927]],
  "species": ["Th", "Al", "Al", "Cu", "Au", "Au", "Au", "Au"],
  "frac_coords": [[0.000, 0.000, 0.000], [0.764, 0.764, 0.707], [0.236, 0.236, 0.293], [0.500, 0.500, 0.500], [0.397, 0.397, 0.808], [0.868, 0.868, 0.396], [0.132, 0.132, 0.604], [0.603, 0.603, 0.192]],
  "total_energy_ev_per_cell": -35.87,
  "e_form_mev_per_atom": -469,
  "m_tot_mub_per_cell": 0.00
}